# 1
Crystalline KRhW at its relaxed geometry. Source: the Alexandria database, functional PBE.

POSCAR file:
```
KRhW
1.0
-2.1982 -5.7228 -3.9515
1.0401 -3.5500 -6.2859
1.7567 3.1314 6.3486
K Rh W
1 1 1
direct
0.9914 0.9914 0.0000 K
0.2974 0.2974 0.0000 Rh
0.7112 0.7112 0.0000 W
```

Results
Calculated formation energy   0.756 eV per atom
DOS(E_F)   4.1 states/eV/cell
Relative energy among the computed polymorphs   6 meV/atom

=====

# 2
Crystalline KRhW at its relaxed geometry. Source: the Alexandria database, functional PBE.

POSCAR file:
```
KRhW
1.0
2.8988 0.0000 0.0000
-1.4494 2.5104 0.0000
0.0000 0.0000 8.0784
Rh W K
1 1 1
direct
0.3333 0.6667 0.3685 Rh
0.6667 0.3333 0.6186 W
0.0000 0.0000 0.0129 K
```

Results
Calculated formation energy   0.750 eV per atom
DOS(E_F)   2.4 states/eV/cell
Relative energy among the computed polymorphs   0 meV/atom

=====

# 3
Crystalline K2RhW at its relaxed geometry. Source: the Alexandria database, functional PBE.

POSCAR file:
```
K2RhW
1.0
0.0000 3.8167 3.8167
3.8167 0.0000 3.8167
3.8167 3.8167 0.0000
K W Rh
2 1 1
direct
0.2500 0.2500 0.2500 K
0.7500 0.7500 0.7500 K
0.5000 0.5000 0.5000 W
0.0000 0.0000 0.0000 Rh
```

Results
Calculated formation energy   2.046 eV per atom
DOS(E_F)   4.3 states/eV/cell
Relative energy among the computed polymorphs   1371 meV/atom

=====

# 4
Crystalline KRhW2 at its relaxed geometry. Source: the Alexandria database, functional PBE.

POSCAR file:
```
KRhW2
1.0
-3.8166 -0.7585 3.1599
2.0537 -4.3404 1.4387
1.3935 1.3224 2.0005
Rh W K
1 2 1
direct
0.0000 0.5000 0.5000 Rh
0.0000 0.0000 0.0000 W
0.5000 0.5000 0.0000 W
0.5000 0.0000 0.5000 K
```

Results
Calculated formation energy   1.765 eV per atom
DOS(E_F)   4.7 states/eV/cell
Relative energy among the computed polymorphs   1143 meV/atom

=====

# 5
Crystalline KRhW3 at its relaxed geometry. Source: the Alexandria database, functional PBE.

POSCAR file:
```
KRhW3
1.0
4.4378 0.0000 0.0000
0.0000 4.4378 0.0000
0.0000 0.0000 4.4378
Rh W K
1 3 1
direct
0.5000 0.5000 0.5000 Rh
0.0000 0.0000 0.5000 W
0.0000 0.5000 0.0000 W
0.5000 0.0000 0.0000 W
0.0000 0.0000 0.0000 K
```

Results
Calculated formation energy   3.561 eV per atom
DOS(E_F)   4.9 states/eV/cell
Relative energy among the computed polymorphs   1374 meV/atom

=====

# 6
Crystalline K2RhW at its relaxed geometry. Source: the Alexandria database, functional PBE.

POSCAR file:
```
K2RhW
1.0
4.9789 0.0014 0.0057
-2.4197 6.1133 -0.0059
0.1395 0.6582 2.7564
Rh K W
1 2 1
direct
0.0000 0.5000 0.5000 Rh
0.0000 0.0000 0.0000 K
0.5000 0.0000 0.5000 K
0.5000 0.5000 0.0000 W
```

Results
Calculated formation energy   1.227 eV per atom
DOS(E_F)   5.1 states/eV/cell
Relative energy among the computed polymorphs   553 meV/atom

=====

# 7
Crystalline KRhW2 at its relaxed geometry. Source: the Alexandria database, functional PBE.

POSCAR file:
```
KRhW2
1.0
-3.4252 1.1652 -1.7358
0.6917 -1.3523 -2.2728
-3.5651 -7.0397 2.3092
K Rh W
1 1 2
direct
0.5000 0.2500 0.2500 K
0.5000 0.7500 0.7500 Rh
0.0000 0.2185 0.9008 W
0.0000 0.2815 0.5992 W
```

Results
Calculated formation energy   0.879 eV per atom
DOS(E_F)   3.0 states/eV/cell
Relative energy among the computed polymorphs   257 meV/atom

=====

# 8
Crystalline KRhW at its relaxed geometry. Source: the Alexandria database, functional PBE.

POSCAR file:
```
KRhW
1.0
4.5506 0.0000 0.0000
2.2753 3.9409 0.0000
2.2753 1.3136 3.7156
K W Rh
1 1 1
direct
0.5000 0.5000 0.5000 K
0.0000 0.0000 0.0000 W
0.2500 0.2500 0.2500 Rh
```

Results
Calculated formation energy   1.737 eV per atom
DOS(E_F)   2.5 states/eV/cell
Relative energy among the computed polymorphs   987 meV/atom

=====

# 9
Crystalline K2RhW at its relaxed geometry. Source: the Alexandria database, functional PBE.

POSCAR file:
```
K2RhW
1.0
4.9971 -0.0006 0.0000
0.0013 4.9971 0.0000
-2.4992 -2.4983 3.5332
Rh K W
1 2 1
direct
0.5000 0.5000 0.0000 Rh
0.2500 0.7500 0.5000 K
0.0000 0.0000 0.0000 K
0.7500 0.2500 0.5000 W
```

Results
Calculated formation energy   1.629 eV per atom
DOS(E_F)   5.2 states/eV/cell
Relative energy among the computed polymorphs   954 meV/atom

=====

# 10
Crystalline KRhW2 at its relaxed geometry. Source: the Alexandria database, functional PBE.

POSCAR file:
```
KRhW2
1.0
-2.1055 2.6089 -0.5832
-2.2151 -1.2869 2.2399
3.5782 4.2209 5.9634
W Rh K
2 1 1
direct
0.0000 0.0000 0.8929 W
0.0000 0.0000 0.6071 W
0.5000 0.5000 0.7500 Rh
0.5000 0.5000 0.2500 K
```

Results
Calculated formation energy   1.100 eV per atom
DOS(E_F)   5.3 states/eV/cell
Relative energy among the computed polymorphs   478 meV/atom

=====

# 11
Crystalline KRhW2 at its relaxed geometry. Source: the Alexandria database, functional PBE.

POSCAR file:
```
KRhW2
1.0
-1.8921 -1.0674 -1.6626
0.6396 -2.5090 0.8829
-7.0549 0.8376 7.4909
W K Rh
2 1 1
direct
0.0000 0.0000 0.9420 W
0.0000 0.0000 0.5580 W
0.5000 0.5000 0.2500 K
0.5000 0.5000 0.7500 Rh
```

Results
Calculated formation energy   0.861 eV per atom
DOS(E_F)   3.6 states/eV/cell
Relative energy among the computed polymorphs   239 meV/atom

=====

# 12
Crystalline K2RhW at its relaxed geometry. Source: the Alexandria database, functional PBE.

POSCAR file:
```
K2RhW
1.0
4.4375 0.0043 0.0001
3.4273 2.8186 0.0001
0.3832 0.1375 10.0334
K Rh W
2 1 1
direct
0.7632 0.7632 0.6602 K
0.9948 0.9948 0.0850 K
0.5056 0.5056 0.4155 Rh
0.2363 0.2363 0.3393 W
```

Results
Calculated formation energy   0.729 eV per atom
DOS(E_F)   2.8 states/eV/cell
Relative energy among the computed polymorphs   54 meV/atom

=====

> What is the calculated formation energy in the first record?

0.756 eV per atom

=====

> The lowest relative energy among the computed polymorphs belongs to which entry?

number 2

=====

> What is the DOS(E_F) in the fourth record?

4.7 states/eV/cell